First-principles (GGA+U) data for a geometry-optimized RbV2PbO6 structure, as listed in Alexandria.

The crystal system is monoclinic. The magnetic moment is 1.00 μB/f.u. The calculation puts the density of states at the Fermi level at 5.8 states/eV per cell. As for the calculated volume: 17.827 A^3/atom. For the total energy, the calculation gives -67.2 eV/f.u.

The space group is C2/c (No. 15) and the conventional cell measures 11.273, 10.846 and 5.965 Å, with angles of 90.00, 102.12 and 90.00 degrees. Symmetry generates all atoms from Rb at (0.000, 0.171, 0.250), V at (0.219, 0.087, 0.780), Pb at (0.000, 0.385, 0.750), O at (0.124, 0.401, 0.158), O at (0.141, 0.224, 0.716) and O at (0.172, 0.011, 0.025).

First-principles (GGA+U) data for a geometry-optimized RbVPbO4 structure, as listed in Alexandria.

The crystal system is monoclinic. The magnetic moment is 0.00 μB/f.u. The calculation puts the density of states at the Fermi level at 0.0 states/eV per cell. As for the calculated volume: 20.605 A^3/atom. For the total energy, the calculation gives -44.4 eV/f.u.

The space group is P2_1/m (No. 11) and the conventional cell measures 6.480, 6.152 and 7.605 Å, with angles of 90.00, 107.91 and 90.00 degrees. Symmetry generates all atoms from Rb at (0.209, 0.250, 0.449), V at (0.239, 0.750, 0.176), Pb at (0.285, 0.250, 0.974), O at (0.050, 0.750, 0.955), O at (0.095, 0.750, 0.332) and O at (0.407, 0.518, 0.202).

First-principles (GGA+U) data for a geometry-optimized RbV2PbO8 structure, as listed in Alexandria.

The crystal system is trigonal. The magnetic moment is 1.06 μB/f.u. The calculation puts the density of states at the Fermi level at 8.3 states/eV per cell. As for the calculated volume: 18.606 A^3/atom. For the total energy, the calculation gives -76.7 eV/f.u.

The space group is P-3 (No. 147) and the conventional cell measures 5.5886, 5.5886 and 8.2545 Å, with angles of 90.00, 90.00 and 120.00 degrees. Symmetry generates all atoms from Rb at (0.0000, 0.0000, 0.0000), V at (0.3333, 0.6667, 0.7222), Pb at (0.0000, 0.0000, 0.5000), O at (0.0729, 0.3364, 0.6611) and O at (0.3333, 0.6667, 0.9270).